Record 1
An optimized crystal structure of PrHo8Tm6, computed with GGA-PBE.

Structure (CIF):
```
data_PrHo8Tm6
_chemical_formula_sum 'Pr1 Ho8 Tm6'
_cell_length_a 9.3531
_cell_length_b 9.3531
_cell_length_c 6.4320
_cell_angle_alpha 90.00
_cell_angle_beta 90.00
_cell_angle_gamma 120.00
_space_group_name_H-M_alt 'P -3'
_space_group_IT_number 147
loop_
_space_group_symop_operation_xyz
'x,y,z'
'-x,-y,-z'
'-y,x-y,z'
'y,-x+y,-z'
'-x+y,-x,z'
'x-y,x,-z'
loop_
_atom_site_label
_atom_site_type_symbol
_atom_site_fract_x
_atom_site_fract_y
_atom_site_fract_z
_atom_site_occupancy
Pr1 Pr 0.0000 0.0000 0.0000 1
Ho1 Ho 0.0256 0.3394 0.4062 1
Ho2 Ho 0.3333 0.6667 0.6704 1
Tm1 Tm 0.0977 0.6802 0.0904 1
```

Results
The value obtained for the energy above the most stable polymorph in this dataset is 1.334 eV/f.u. For the formation energy, the calculation gives 0.230 eV per atom.

Record 2
An optimized crystal structure of Sc4InFe, computed with GGA-PBE.

Structure (CIF):
```
data_Sc4InFe
_chemical_formula_sum 'Sc16 In4 Fe4'
_cell_length_a 8.079
_cell_length_b 8.079
_cell_length_c 8.079
_cell_angle_alpha 90.00
_cell_angle_beta 90.00
_cell_angle_gamma 90.00
_space_group_name_H-M_alt 'F -4 3 m'
_space_group_IT_number 216
_space_group_name_Hall 'F -4 2 3'
loop_
_atom_site_label
_atom_site_type_symbol
_atom_site_fract_x
_atom_site_fract_y
_atom_site_fract_z
_atom_site_occupancy
Sc1 Sc 0.125 0.125 0.125 1
In1 In 0.000 0.000 0.500 1
Fe1 Fe 0.250 0.250 0.750 1
```

Results
The value obtained for the energy above the most stable polymorph in this dataset is 3.757 eV/f.u. For the formation energy, the calculation gives 0.383 eV per atom.

Record 3
An optimized crystal structure of Tl7Br4F4, computed with GGA-PBE.

Structure (CIF):
```
data_Tl7Br4F4
_chemical_formula_sum 'Tl28 Br16 F16'
_cell_length_a 15.413
_cell_length_b 15.413
_cell_length_c 7.053
_cell_angle_alpha 90.00
_cell_angle_beta 90.00
_cell_angle_gamma 90.00
_space_group_name_H-M_alt 'I 4/m m m'
_space_group_IT_number 139
_space_group_name_Hall '-I 4 2'
loop_
_atom_site_label
_atom_site_type_symbol
_atom_site_fract_x
_atom_site_fract_y
_atom_site_fract_z
_atom_site_occupancy
Tl1 Tl 0.000 0.000 0.249 1
Tl2 Tl 0.000 0.289 0.000 1
Tl3 Tl 0.000 0.393 0.500 1
Tl4 Tl 0.209 0.209 0.500 1
Br1 Br 0.000 0.200 0.500 1
Br2 Br 0.134 0.134 0.000 1
F1 F 0.120 0.380 0.250 1
```

Results
The uncorrected formation energy comes out at -1.201 eV/atom.

| no. | M_tot (μB per cell) |
| --- | --- |
| 1 | 0.000 |
| 2 | 9.974 |
| 3 | 0.000 |